(1)
SbH: optimized geometry, PBE.

Cell: 4.9051 4.9051 4.9051 Å, 90.00 90.00 90.00°
Atoms (fractional coordinates):
Sb 0.5000 0.5000 0.5000
Sb 0.5000 0.0000 0.0000
Sb 0.0000 0.5000 0.0000
Sb 0.0000 0.0000 0.5000
H 0.0000 0.0000 0.0000
H 0.0000 0.5000 0.5000
H 0.5000 0.0000 0.5000
H 0.5000 0.5000 0.0000

**Raw total energy**: -3.01 eV per atom
**E above lowest polymorph**: 701.6 meV per atom
**Fermi-level density of states**: 1.00 states/eV/f.u.
**Space-group type**: Fm-3m


(2)
LaNp2Te4: optimized geometry, PBE.

Cell: 4.3794 7.5297 15.0915 Å, 90.00 90.00 106.91°
Each line ends with the local moment (μB).
Atoms (fractional coordinates):
La 0.6153 0.2306 0.7500  0.08
La 0.3847 0.7694 0.2500  0.08
Np 0.1354 0.2708 0.4368  4.14
Np 0.8646 0.7292 0.9368  4.14
Np 0.1354 0.2708 0.0632  4.14
Np 0.8646 0.7292 0.5632  4.14
Te 0.7744 0.5487 0.1250  -0.06
Te 0.7744 0.5487 0.3750  -0.06
Te 0.2256 0.4513 0.8750  -0.06
Te 0.2256 0.4513 0.6250  -0.06
Te 0.9516 0.9032 0.7500  -0.06
Te 0.0484 0.0968 0.2500  -0.06
Te 0.5000 0.0000 0.0000  -0.09
Te 0.5000 0.0000 0.5000  -0.09

**Raw formation energy**: -932 meV per atom
**Raw total energy**: -7.13 eV per atom
**Fermi-level density of states**: 24.95 states/eV/f.u.
**Space-group type**: Cmcm


(3)
RhCI2O: optimized geometry, PBE.

Cell: 5.5350 5.5350 3.7290 Å, 90.00 90.00 90.00°
Each line ends with the local moment (μB).
Atoms (fractional coordinates):
I 0.0000 0.5000 0.0000  -0.11
I 0.5000 0.0000 0.0000  -0.11
C 0.5000 0.5000 0.5000  0.73
Rh 0.0000 0.0000 0.0000  -0.05
O 0.0000 0.0000 0.5000  0.01

**Raw formation energy**: 1249 meV per atom
**Raw total energy**: -3.68 eV per atom
**E above lowest polymorph**: 82.0 meV per atom
**Fermi-level density of states**: 4.28 states/eV/f.u.
**Space-group type**: P4/mmm


(4)
NdHoTh2: optimized geometry, PBE.

Cell: 3.5627 3.5627 10.2901 Å, 90.00 90.00 90.00°
Atoms (fractional coordinates):
Nd 0.5000 0.5000 0.5000
Ho 0.5000 0.5000 0.0000
Th 0.0000 0.0000 0.7551
Th 0.0000 0.0000 0.2449

**ΔH_f (0 K)**: 73 meV per atom
**Raw total energy**: -5.97 eV per atom
**E above lowest polymorph**: 43.0 meV per atom
**Fermi-level density of states**: 6.61 states/eV/f.u.
**Space-group type**: P4/mmm


(5)
YSc2Zn: optimized geometry, PBE.

Cell: 4.7154 4.7154 5.9188 Å, 66.53 66.53 60.00°
Atoms (fractional coordinates):
Y 0.4878 0.4878 0.5367
Sc 0.0383 0.0383 0.8852
Sc 0.2771 0.2771 0.1688
Zn 0.6969 0.6969 0.9093

**ΔH_f (0 K)**: 55 meV per atom
**Raw total energy**: -5.05 eV per atom
**Fermi-level density of states**: 7.68 states/eV/f.u.
**Space-group type**: R3m


(6)
KTl4Ge3Cl12: optimized geometry, PBE.

Cell: 9.2067 9.2067 9.2067 Å, 109.47 109.47 109.47°
Atoms (fractional coordinates):
K 0.0000 0.0000 0.0000
Tl 0.5000 0.5000 0.5000
Tl 0.0000 0.0000 0.5000
Tl 0.5000 0.0000 0.0000
Tl 0.0000 0.5000 0.0000
Ge 0.5000 0.0000 0.5000
Ge 0.5000 0.5000 0.0000
Ge 0.0000 0.5000 0.5000
Cl 0.2500 0.5000 0.7500
Cl 0.7324 0.0000 0.7324
Cl 0.2676 0.0000 0.2676
Cl 0.7500 0.5000 0.2500
Cl 0.7324 0.7324 0.0000
Cl 0.2676 0.2676 0.0000
Cl 0.7500 0.2500 0.5000
Cl 0.2500 0.7500 0.5000
Cl 0.5000 0.2500 0.7500
Cl 0.0000 0.7324 0.7324
Cl 0.5000 0.7500 0.2500
Cl 0.0000 0.2676 0.2676

**Raw formation energy**: -939 meV per atom
**Raw total energy**: -3.27 eV per atom
**Fermi-level density of states**: 3.75 states/eV/f.u.
**Space-group type**: Im-3m


(7)
SrTlCl2F: optimized geometry, PBE.

Cell: 4.2624 8.0529 9.4085 Å, 105.95 90.00 90.00°
Atoms (fractional coordinates):
Sr 0.2500 0.7991 0.8162
Sr 0.7500 0.2009 0.1838
Tl 0.2500 0.7009 0.3139
Tl 0.7500 0.2991 0.6861
Cl 0.7500 0.8493 0.6235
Cl 0.7500 0.8157 0.0371
Cl 0.2500 0.1507 0.3765
Cl 0.2500 0.1843 0.9629
F 0.2500 0.5025 0.7347
F 0.7500 0.4975 0.2653

**Raw formation energy**: -2228 meV per atom
**Raw total energy**: -4.15 eV per atom
**Fermi-level density of states**: 0.00 states/eV/f.u.
**Space-group type**: P2_1/m


(8)
Mn2TeAu: optimized geometry, PBE.

Cell: 6.9313 6.9313 6.9313 Å, 32.00 32.00 32.00°
Each line ends with the local moment (μB).
Atoms (fractional coordinates):
Au 0.7500 0.7500 0.7500  0.08
Mn 0.0063 0.0063 0.0063  3.86
Mn 0.4937 0.4937 0.4937  3.86
Te 0.2500 0.2500 0.2500  -0.06

**Raw formation energy**: 158 meV per atom
**Raw total energy**: -6.03 eV per atom
**Fermi-level density of states**: 2.31 states/eV/f.u.
**Space-group type**: R-3m


(9)
MnNbAlAu: optimized geometry, PBE.

Cell: 4.4645 4.4645 4.4645 Å, 60.00 60.00 60.00°
Each line ends with the local moment (μB).
Atoms (fractional coordinates):
Nb 0.7500 0.7500 0.7500  -0.95
Mn 0.5000 0.5000 0.5000  2.97
Au 0.2500 0.2500 0.2500  0.07
Al 0.0000 0.0000 0.0000  -0.01

**ΔH_f (0 K)**: -142 meV per atom
**Raw total energy**: -6.71 eV per atom
**Fermi-level density of states**: 1.62 states/eV/f.u.
**Space-group type**: F-43m


(10)
Nd5Y3Sn2: optimized geometry, PBE.

Cell: 6.4536 10.8688 10.8688 Å, 94.27 72.73 72.73°
Atoms (fractional coordinates):
Nd 0.2500 0.5000 0.5000
Nd 0.7500 0.5000 0.5000
Nd 0.4991 0.7509 0.7509
Nd 0.0009 0.2491 0.2491
Nd 0.5009 0.2491 0.2491
Nd 0.9991 0.7509 0.7509
Nd 0.0980 0.5697 0.2343
Nd 0.9020 0.4303 0.7657
Nd 0.5980 0.2343 0.5697
Nd 0.4020 0.7657 0.4303
Y 0.2500 0.0000 0.0000
Y 0.7500 0.0000 0.0000
Y 0.3864 0.3116 0.9156
Y 0.6136 0.6884 0.0844
Y 0.8864 0.9156 0.3116
Y 0.1136 0.0844 0.6884
Sn 0.1257 0.7323 0.0163
Sn 0.8743 0.2677 0.9837
Sn 0.6257 0.0163 0.7323
Sn 0.3743 0.9837 0.2677

**ΔH_f (0 K)**: -36 meV per atom
**Raw total energy**: -5.16 eV per atom
**Fermi-level density of states**: 12.71 states/eV/f.u.
**Space-group type**: Ibam


(11)
Y3InTe: optimized geometry, PBE.

Cell: 5.6027 5.6027 5.6027 Å, 90.00 90.00 90.00°
Atoms (fractional coordinates):
Y 0.0000 0.5000 0.0000
Y 0.0000 0.0000 0.5000
Y 0.5000 0.0000 0.0000
Te 0.0000 0.0000 0.0000
In 0.5000 0.5000 0.5000

**Raw formation energy**: -193 meV per atom
**Raw total energy**: -5.25 eV per atom
**E above lowest polymorph**: 517.8 meV per atom
**Fermi-level density of states**: 2.67 states/eV/f.u.
**Space-group type**: Pm-3m


(12)
CoCu3: optimized geometry, PBE.

Cell: 4.5841 4.5841 4.5841 Å, 90.00 90.00 90.00°
Each line ends with the local moment (μB).
Atoms (fractional coordinates):
Co 0.0000 0.0000 0.0000  1.49
Co 0.5000 0.5000 0.5000  1.49
Cu 0.0000 0.2500 0.5000  0.05
Cu 0.0000 0.7500 0.5000  0.05
Cu 0.2500 0.5000 0.0000  0.05
Cu 0.5000 0.0000 0.2500  0.05
Cu 0.5000 0.0000 0.7500  0.05
Cu 0.7500 0.5000 0.0000  0.05

**ΔH_f (0 K)**: 280 meV per atom
**Raw total energy**: -4.57 eV per atom
**Fermi-level density of states**: 7.78 states/eV/f.u.
**Space-group type**: Pm-3n


(13)
Cd6Ag6Pb: optimized geometry, PBE.

Cell: 5.6865 7.5141 7.5141 Å, 80.57 67.77 67.77°
Atoms (fractional coordinates):
Cd 0.3475 0.6525 0.6525
Cd 0.6525 0.3475 0.3475
Cd 0.0000 0.3450 0.6550
Cd 0.0000 0.6550 0.3450
Cd 0.3109 0.1891 0.1891
Cd 0.6891 0.8109 0.8109
Ag 0.0000 0.5000 0.0000
Ag 0.5000 0.5000 0.0000
Ag 0.0000 0.0000 0.5000
Ag 0.5000 0.0000 0.5000
Ag 0.5000 0.7667 0.2333
Ag 0.5000 0.2333 0.7667
Pb 0.0000 0.0000 0.0000

**ΔH_f (0 K)**: -30 meV per atom
**Raw total energy**: -2.05 eV per atom
**Fermi-level density of states**: 4.51 states/eV/f.u.
**Space-group type**: Immm


(14)
FeCuRh: optimized geometry, PBE.

Cell: 6.7713 6.5604 2.6023 Å, 83.34 74.22 22.44°
Each line ends with the local moment (μB).
Atoms (fractional coordinates):
Cu 0.9963 0.9963 0.0037  0.07
Fe 0.3344 0.3344 0.6656  2.83
Rh 0.6693 0.6693 0.3307  0.47

**ΔH_f (0 K)**: 134 meV per atom
**Raw total energy**: -6.50 eV per atom
**E above lowest polymorph**: 143.3 meV per atom
**Fermi-level density of states**: 2.97 states/eV/f.u.
**Space-group type**: Fmm2


(15)
La5Sm4Er2: optimized geometry, PBE.

Cell: 3.5921 11.8217 9.1847 Å, 93.84 101.28 90.00°
Atoms (fractional coordinates):
La 0.9039 0.4633 0.8077
La 0.0961 0.5367 0.1923
La 0.8221 0.9243 0.6442
La 0.5000 0.0000 0.0000
La 0.1779 0.0757 0.3558
Sm 0.3585 0.2025 0.7171
Sm 0.9616 0.7364 0.9232
Sm 0.6415 0.7975 0.2829
Sm 0.0384 0.2636 0.0768
Er 0.7159 0.3566 0.4319
Er 0.2841 0.6434 0.5681

**ΔH_f (0 K)**: 77 meV per atom
**Raw total energy**: -4.71 eV per atom
**Fermi-level density of states**: 16.51 states/eV/f.u.
**Space-group type**: C2/m


(16)
Ba2Ag2Se: optimized geometry, PBE.

Cell: 8.8113 8.8113 4.7713 Å, 90.00 90.00 90.00°
Atoms (fractional coordinates):
Se 0.0000 0.0000 0.0000
Se 0.5000 0.5000 0.0000
Ba 0.3169 0.8169 0.0000
Ba 0.8169 0.6831 0.0000
Ba 0.6831 0.1831 0.0000
Ba 0.1831 0.3169 0.0000
Ag 0.1130 0.6130 0.5000
Ag 0.6130 0.8870 0.5000
Ag 0.8870 0.3870 0.5000
Ag 0.3870 0.1130 0.5000

**Raw formation energy**: -593 meV per atom
**Raw total energy**: -3.20 eV per atom
**Fermi-level density of states**: 0.67 states/eV/f.u.
**Space-group type**: P4/mbm


(17)
BaSeBr2O: optimized geometry, PBE.

Cell: 5.0399 5.0399 4.7166 Å, 90.00 90.00 90.00°
Atoms (fractional coordinates):
O 0.0000 0.0000 0.0000
Se 0.0000 0.0000 0.5000
Ba 0.5000 0.5000 0.5000
Br 0.0000 0.5000 0.0000
Br 0.5000 0.0000 0.0000

**Raw formation energy**: -723 meV per atom
**Raw total energy**: -3.47 eV per atom
**E above lowest polymorph**: 0.0 meV per atom
**Fermi-level density of states**: 1.27 states/eV/f.u.
**Space-group type**: P4/mmm


(18)
La6CoAu2I3: optimized geometry, PBE.

Cell: 7.5050 7.5050 8.4966 Å, 98.70 98.70 118.49°
Atoms (fractional coordinates):
La 0.9387 0.6362 0.8118
La 0.7537 0.7537 0.1990
La 0.0613 0.3638 0.1882
La 0.6362 0.9387 0.8118
La 0.2463 0.2463 0.8010
La 0.3638 0.0613 0.1882
Co 0.0000 0.0000 0.0000
Au 0.3346 0.6654 0.0000
Au 0.6654 0.3346 0.0000
I 0.1702 0.8298 0.5000
I 0.8298 0.1702 0.5000
I 0.5000 0.5000 0.5000

**Raw formation energy**: -855 meV per atom
**Raw total energy**: -4.84 eV per atom
**Fermi-level density of states**: 10.37 states/eV/f.u.
**Space-group type**: C2/m


(19)
Be2V2As: optimized geometry, PBE.

Cell: 3.0312 3.0312 7.2224 Å, 77.89 77.89 90.00°
Atoms (fractional coordinates):
Be 0.7500 0.2500 0.5000
Be 0.2500 0.7500 0.5000
As 0.0000 0.0000 0.0000
V 0.3991 0.3991 0.2019
V 0.6009 0.6009 0.7981

**ΔH_f (0 K)**: 204 meV per atom
**Raw total energy**: -5.86 eV per atom
**E above lowest polymorph**: 305.7 meV per atom
**Fermi-level density of states**: 3.42 states/eV/f.u.
**Space-group type**: I4/mmm


(20)
BaY2Tl: optimized geometry, PBE.

Cell: 6.3305 6.3305 6.3305 Å, 133.27 133.27 68.24°
Atoms (fractional coordinates):
Ba 0.5000 0.5000 0.0000
Tl 0.7500 0.2500 0.5000
Y 0.0000 0.0000 0.0000
Y 0.2500 0.7500 0.5000

**ΔH_f (0 K)**: 27 meV per atom
**Raw total energy**: -4.28 eV per atom
**E above lowest polymorph**: 131.4 meV per atom
**Fermi-level density of states**: 5.16 states/eV/f.u.
**Space-group type**: I-4m2